1.
Computed, not measured: a relaxed structure of KUSe3 at the PBE level of DFT.

Cell lengths 5.5464, 7.3765, 9.1249 Å; angles 103.18, 90.00, 112.08 degrees
Closest atoms and distances in Å follow each position.
Positions (direct):
U 0.1302 0.2604 0.9155  6 Se 2.60-2.85
U 0.8698 0.7396 0.0845  6 Se 2.60-2.85
Se 0.0770 0.1539 0.1872  2 U 2.75-2.76
Se 0.9230 0.8461 0.8128  2 U 2.75-2.76
Se 0.3403 0.6806 0.0574  3 U 2.80-2.85
Se 0.8588 0.7176 0.3648  1 U 2.60
Se 0.6597 0.3194 0.9426  3 U 2.80-2.85
Se 0.1412 0.2824 0.6352  1 U 2.60
K 0.3787 0.7575 0.6028  5 Se 3.33-3.49
K 0.6213 0.2425 0.3972  5 Se 3.33-3.49

Output
ρ = 5.1 Mg/m³
Symmetry = C2/m (12)
Formation energy without anion corrections = -1.11 eV per atom
Crystal system = monoclinic


2.
Computed, not measured: a relaxed structure of KU2Se3 at the PBE level of DFT.

Cell lengths 4.0060, 7.5180, 11.0635 Å; angles 103.32, 90.00, 90.00 degrees
Closest atoms and distances in Å follow each position.
Positions (direct):
Se 0.2500 0.2030 0.9869  3 U 2.91-2.92, 3 K 3.17-3.19
Se 0.2500 0.3676 0.3520  4 U 2.89-2.96, 2 K 3.18
Se 0.7500 0.6324 0.6480  4 U 2.89-2.96, 2 K 3.18
Se 0.7500 0.8819 0.3433  5 U 2.91-2.96, 1 K 3.23
Se 0.7500 0.7970 0.0131  3 U 2.91-2.92, 3 K 3.17-3.19
Se 0.2500 0.1181 0.6567  5 U 2.91-2.96, 1 K 3.23
U 0.2500 0.7527 0.4956  6 Se 2.89-2.96
U 0.7500 0.2473 0.5044  6 Se 2.89-2.96
U 0.7500 0.9981 0.8180  6 Se 2.91-2.96
U 0.2500 0.0019 0.1820  6 Se 2.91-2.96
K 0.7500 0.4806 0.1594  6 Se 3.17-3.23
K 0.2500 0.5194 0.8406  6 Se 3.17-3.23

Output
ρ = 7.7 Mg/m³
Symmetry = P2_1/m (11)
Formation energy without anion corrections = -1.05 eV per atom
Crystal system = monoclinic